[1]
Sc2CuBi: optimized geometry, PBE.

a = 7.062 Å, b = 7.062 Å, c = 7.062 Å
α = 90.00°, β = 90.00°, γ = 90.00°
Element x y z (fractional)
Sc: 0.000 0.000 0.000
Sc: 0.000 0.500 0.500
Sc: 0.250 0.250 0.250
Sc: 0.250 0.750 0.750
Sc: 0.500 0.000 0.500
Sc: 0.500 0.500 0.000
Sc: 0.750 0.250 0.750
Sc: 0.750 0.750 0.250
Cu: 0.250 0.250 0.750
Cu: 0.250 0.750 0.250
Cu: 0.750 0.250 0.250
Cu: 0.750 0.750 0.750
Bi: 0.000 0.000 0.500
Bi: 0.000 0.500 0.000
Bi: 0.500 0.000 0.000
Bi: 0.500 0.500 0.500

---

[2]
ScTaCuBi: optimized geometry, PBE.

Summary:
**Distance to the lowest polymorph of the same formula**: 0 meV/atom

a = 6.855 Å, b = 6.855 Å, c = 6.855 Å
α = 90.00°, β = 90.00°, γ = 90.00°
Element x y z (fractional)
Sc: 0.000 0.000 0.000
Sc: 0.000 0.500 0.500
Sc: 0.500 0.000 0.500
Sc: 0.500 0.500 0.000
Ta: 0.250 0.250 0.750
Ta: 0.250 0.750 0.250
Ta: 0.750 0.250 0.250
Ta: 0.750 0.750 0.750
Cu: 0.250 0.250 0.250
Cu: 0.250 0.750 0.750
Cu: 0.750 0.250 0.750
Cu: 0.750 0.750 0.250
Bi: 0.000 0.000 0.500
Bi: 0.000 0.500 0.000
Bi: 0.500 0.000 0.000
Bi: 0.500 0.500 0.500

---

[3]
ScCuBiW: optimized geometry, PBE.

Summary:
**Distance to the lowest polymorph of the same formula**: 0 meV/atom

a = 6.718 Å, b = 6.718 Å, c = 6.718 Å
α = 90.00°, β = 90.00°, γ = 90.00°
Element x y z (fractional)
Sc: 0.000 0.000 0.000
Sc: 0.000 0.500 0.500
Sc: 0.500 0.000 0.500
Sc: 0.500 0.500 0.000
Cu: 0.250 0.250 0.750
Cu: 0.250 0.750 0.250
Cu: 0.750 0.250 0.250
Cu: 0.750 0.750 0.750
Bi: 0.000 0.000 0.500
Bi: 0.000 0.500 0.000
Bi: 0.500 0.000 0.000
Bi: 0.500 0.500 0.500
W: 0.250 0.250 0.250
W: 0.250 0.750 0.750
W: 0.750 0.250 0.750
W: 0.750 0.750 0.250

---

One value per record, in order, for DFT total energy: -4.979 -5.962 -6.173 eV/atom.